Record 1
Entry from the Alexandria database: a relaxed structure of AcGa2PbO6 (PBE).

a = 7.1981 Å, b = 7.1981 Å, c = 7.2592 Å
α = 98.73°, β = 98.73°, γ = 114.22°
Closest atoms and distances in Å follow each position.
Fractional coordinates of all 20 atoms:
Ac  0.5865  0.4135  0.2500  6 O 2.47-2.77
Ac  0.4135  0.5865  0.7500  6 O 2.47-2.77
Ga  0.4812  0.1638  0.6339  4 O 1.88-1.99
Ga  0.8362  0.5188  0.8661  4 O 1.88-1.99
Ga  0.5188  0.8362  0.3661  4 O 1.88-1.99
Ga  0.1638  0.4812  0.1339  4 O 1.88-1.99
Pb  0.0541  0.9459  0.2500  6 O 2.32-2.46
Pb  0.9459  0.0541  0.7500  6 O 2.32-2.46
O  0.9556  0.5689  0.1661  1 Ga 1.88
O  0.4311  0.0444  0.3339  1 Ga 1.88
O  0.0444  0.4311  0.8339  1 Ga 1.88
O  0.5689  0.9556  0.6661  1 Ga 1.88
O  0.1454  0.2068  0.0813  1 Ga 1.90
O  0.7932  0.8546  0.4187  1 Ga 1.90
O  0.8546  0.7932  0.9187  1 Ga 1.90
O  0.2068  0.1454  0.5813  1 Ga 1.90
O  0.3320  0.5652  0.4018  2 Ga 1.95-1.99
O  0.4348  0.6680  0.0982  2 Ga 1.95-1.99
O  0.6680  0.4348  0.5982  2 Ga 1.95-1.99
O  0.5652  0.3320  0.9018  2 Ga 1.95-1.99

Values from the calculation:
* space-group type: C2/c (15)
* total moment: 0.00 μB per cell
* ΔE_f (raw): -1.965 eV per atom
* DOS(E_F): 0.10 states/eV/atom


Record 2
Entry from the Alexandria database: a relaxed structure of CaScAl2 (PBE).

a = 7.9119 Å, b = 7.9119 Å, c = 6.4361 Å
α = 52.07°, β = 52.07°, γ = 90.00°
Closest atoms and distances in Å follow each position.
Fractional coordinates of all 8 atoms:
Sc  0.0000  0.0000  0.0000  4 Al 2.81
Sc  0.7500  0.2500  0.5000  4 Al 2.81
Ca  0.5000  0.5000  0.0000  4 Al 3.01, 2 Sc 3.18
Ca  0.2500  0.7500  0.5000  4 Al 3.01, 2 Sc 3.18
Al  0.6431  0.1250  0.2500  2 Sc 2.81, 2 Ca 3.01
Al  0.1069  0.6250  0.2500  2 Sc 2.81, 2 Ca 3.01
Al  0.3750  0.3569  0.7500  2 Sc 2.81, 2 Ca 3.01
Al  0.8750  0.8931  0.7500  2 Sc 2.81, 2 Ca 3.01

Values from the calculation:
* space-group type: I-42d (122)
* E above lowest polymorph: 508 meV per atom
* total moment: 0.00 μB per cell
* formation energy from the elements: 0.192 eV/atom
* DOS(E_F): 0.85 states/eV/atom


Record 3
Entry from the Alexandria database: a relaxed structure of LaIrRh4 (PBE).

a = 4.0159 Å, b = 6.8143 Å, c = 7.8450 Å
α = 90.00°, β = 90.00°, γ = 90.00°
Closest atoms and distances in Å follow each position.
Fractional coordinates of all 12 atoms:
La  0.0000  0.6477  0.7500  1 Ir 2.83, 8 Rh 2.99-3.13
La  0.0000  0.3523  0.2500  1 Ir 2.83, 8 Rh 2.99-3.13
Ir  0.0000  0.2324  0.7500  8 Rh 2.52-2.67
Ir  0.0000  0.7676  0.2500  8 Rh 2.52-2.67
Rh  0.0000  0.0000  0.5000  2 Ir 2.52, 4 Rh 2.81
Rh  0.0000  0.0000  0.0000  2 Ir 2.52, 4 Rh 2.81
Rh  0.5000  0.9735  0.7500  2 Ir 2.67, 6 Rh 2.73-2.81, 2 La 2.99
Rh  0.5000  0.0265  0.2500  2 Ir 2.67, 6 Rh 2.73-2.81, 2 La 2.99
Rh  0.5000  0.6951  0.0538  2 Ir 2.58, 2 Rh 2.73-2.79
Rh  0.5000  0.3049  0.9462  2 Ir 2.58, 2 Rh 2.73-2.79
Rh  0.5000  0.6951  0.4462  2 Ir 2.58, 2 Rh 2.73-2.79
Rh  0.5000  0.3049  0.5538  2 Ir 2.58, 2 Rh 2.73-2.79

Values from the calculation:
* space-group type: Pmma (51)
* E above lowest polymorph: 0 meV per atom
* total moment: 0.00 μB per cell
* formation energy from the elements: -0.138 eV/atom
* DOS(E_F): 1.17 states/eV/atom


Q: What is the DOS(E_F) in the second record?
A: 0.85 states/eV/atom


Please write out number 1 again, unchanged.
Entry from the Alexandria database: a relaxed structure of AcGa2PbO6 (PBE).

a = 7.1981 Å, b = 7.1981 Å, c = 7.2592 Å
α = 98.73°, β = 98.73°, γ = 114.22°
Closest atoms and distances in Å follow each position.
Fractional coordinates of all 20 atoms:
Ac  0.5865  0.4135  0.2500  6 O 2.47-2.77
Ac  0.4135  0.5865  0.7500  6 O 2.47-2.77
Ga  0.4812  0.1638  0.6339  4 O 1.88-1.99
Ga  0.8362  0.5188  0.8661  4 O 1.88-1.99
Ga  0.5188  0.8362  0.3661  4 O 1.88-1.99
Ga  0.1638  0.4812  0.1339  4 O 1.88-1.99
Pb  0.0541  0.9459  0.2500  6 O 2.32-2.46
Pb  0.9459  0.0541  0.7500  6 O 2.32-2.46
O  0.9556  0.5689  0.1661  1 Ga 1.88
O  0.4311  0.0444  0.3339  1 Ga 1.88
O  0.0444  0.4311  0.8339  1 Ga 1.88
O  0.5689  0.9556  0.6661  1 Ga 1.88
O  0.1454  0.2068  0.0813  1 Ga 1.90
O  0.7932  0.8546  0.4187  1 Ga 1.90
O  0.8546  0.7932  0.9187  1 Ga 1.90
O  0.2068  0.1454  0.5813  1 Ga 1.90
O  0.3320  0.5652  0.4018  2 Ga 1.95-1.99
O  0.4348  0.6680  0.0982  2 Ga 1.95-1.99
O  0.6680  0.4348  0.5982  2 Ga 1.95-1.99
O  0.5652  0.3320  0.9018  2 Ga 1.95-1.99

Values from the calculation:
* space-group type: C2/c (15)
* total moment: 0.00 μB per cell
* ΔE_f (raw): -1.965 eV per atom
* DOS(E_F): 0.10 states/eV/atom


Q: Which value of total moment does entry 3 give?
A: 0.00 μB per cell


Q: The lowest DOS(E_F) belongs to which entry?
A: AcGa2PbO6